Material: VPb
Method: DFT, PBE
State: relaxed

Cell and atoms, written as POSCAR:
```
VPb
1.0
10.455 0.000 0.000
0.000 10.455 0.000
0.000 0.000 3.219
V Pb
8 8
direct
0.018 0.628 0.000 V
0.128 0.471 0.500 V
0.372 0.018 0.000 V
0.471 0.872 0.500 V
0.529 0.128 0.500 V
0.628 0.982 0.000 V
0.872 0.529 0.500 V
0.982 0.372 0.000 V
0.138 0.173 0.500 Pb
0.173 0.862 0.500 Pb
0.323 0.633 0.000 Pb
0.367 0.323 0.000 Pb
0.633 0.677 0.000 Pb
0.677 0.367 0.000 Pb
0.827 0.138 0.500 Pb
0.862 0.827 0.500 Pb
```

Output
The calculation puts the excess energy over the best structure of this formula in the dataset at 0.00 eV/f.u. The value obtained for the energy of formation is 0.337 eV/atom. Its size of the total moment is 0.0000 μB per atom. The density of states at the Fermi level comes out at 0.89 states/eV per atom. The raw total energy is -6.077 eV/atom.